## BaCa2Os (PBE)

Data for BaCa2Os after structural relaxation.

Summary:
SG: P4/mmm, No. 123
Uncorrected energy, hartree per atom: -0.1413
Total magnetic moment, μB per formula unit: 0.64
Energy relative to the lowest polymorph listed for this composition, kcal/mol of atoms: 1.03

a b c (Å): 3.5567 3.5571 10.9557
angles (deg): 71.06 90.00 90.00
Last column: nearest neighbours and their distance in Å.
Fractional positions:
Ca 0.0000 0.5920 0.4085  4 Os 3.00, 1 Ca 3.28
Ca 0.0000 0.9080 0.0915  4 Os 3.00, 1 Ca 3.28
Ba 0.5000 0.7500 0.7500  4 Ba 3.56
Os 0.5000 0.2500 0.2500  8 Ca 3.00

=====

## Be2HgP (PBE)

Data for Be2HgP after structural relaxation.

Summary:
SG: P4mm, No. 99
Uncorrected energy, hartree per atom: -0.1083
Total magnetic moment, μB per formula unit: 0.00
Energy relative to the lowest polymorph listed for this composition, kcal/mol of atoms: 5.14

a b c (Å): 3.2349 3.2349 6.1563
angles (deg): 90.00 90.00 90.00
Last column: nearest neighbours and their distance in Å.
Fractional positions:
Be 0.0000 0.0000 0.9232  4 P 2.29
Be 0.5000 0.5000 0.2526  1 P 2.10
P 0.5000 0.5000 0.9112  5 Be 2.10-2.29
Hg 0.0000 0.0000 0.4130  4 Be 2.49

=====

## CaTcP (PBE)

Data for CaTcP after structural relaxation.

Summary:
SG: P4/nmm, No. 129
Uncorrected energy, hartree per atom: -0.2431
Total magnetic moment, μB per formula unit: 0.00
Energy relative to the lowest polymorph listed for this composition, kcal/mol of atoms: 0.00

a b c (Å): 4.2035 4.2035 6.4957
angles (deg): 90.00 90.00 90.00
Last column: nearest neighbours and their distance in Å.
Fractional positions:
Ca 0.5000 0.0000 0.1648  4 Tc 3.03, 6 P 3.13-3.36
Ca 0.0000 0.5000 0.8352  4 Tc 3.03, 6 P 3.13-3.36
Tc 0.0000 0.0000 0.5000  4 P 2.41
Tc 0.5000 0.5000 0.5000  4 P 2.41
P 0.5000 0.0000 0.6824  4 Tc 2.41
P 0.0000 0.5000 0.3176  4 Tc 2.41

=====

## Li4ScAu5 (PBE)

Data for Li4ScAu5 after structural relaxation.

Summary:
SG: P4/mmm, No. 123
Uncorrected energy, hartree per atom: -0.1336
Total magnetic moment, μB per formula unit: 0.00

a b c (Å): 3.2617 3.2617 15.3245
angles (deg): 90.00 90.00 90.00
Last column: nearest neighbours and their distance in Å.
Fractional positions:
Au 0.5000 0.5000 0.8857  4 Li 2.77, 4 Sc 2.90, 1 Au 2.98
Au 0.5000 0.5000 0.6915  8 Li 2.72-2.74, 2 Au 2.93-2.98
Au 0.5000 0.5000 0.1143  4 Li 2.77, 4 Sc 2.90, 1 Au 2.98
Au 0.5000 0.5000 0.5000  8 Li 2.73, 2 Au 2.93
Au 0.5000 0.5000 0.3085  8 Li 2.72-2.74, 2 Au 2.93-2.98
Li 0.0000 0.0000 0.5953  8 Au 2.73-2.74, 2 Li 2.91-2.92
Li 0.0000 0.0000 0.7852  8 Au 2.72-2.77, 1 Li 2.91
Li 0.0000 0.0000 0.4047  8 Au 2.73-2.74, 2 Li 2.91-2.92
Li 0.0000 0.0000 0.2148  8 Au 2.72-2.77, 1 Li 2.91
Sc 0.0000 0.0000 0.0000  8 Au 2.90

=====

## LaAlIn (PBE)

Data for LaAlIn after structural relaxation.

Summary:
SG: F-43m, No. 216
Uncorrected energy, hartree per atom: -0.1351
Total magnetic moment, μB per formula unit: 0.00

a b c (Å): 5.1669 5.1669 5.1669
angles (deg): 60.00 60.00 60.00
Last column: nearest neighbours and their distance in Å.
Fractional positions:
In 0.5000 0.5000 0.5000  4 La 3.16
Al 0.0000 0.0000 0.0000  4 La 3.16
La 0.7500 0.7500 0.7500  4 In 3.16, 4 Al 3.16

=====

## PuGe4Pt2 (PBE)

Data for PuGe4Pt2 after structural relaxation.

Summary:
SG: Pnma, No. 62
Uncorrected energy, hartree per atom: -0.2551
Total magnetic moment, μB per formula unit: 5.49

a b c (Å): 4.2487 6.8355 17.9073
angles (deg): 90.00 90.00 90.00
Last column: nearest neighbours and their distance in Å.
Fractional positions:
Ge 0.2500 0.1270 0.5417  3 Pt 2.54-2.59
Ge 0.7500 0.8730 0.4583  3 Pt 2.54-2.59
Ge 0.7500 0.7590 0.8069  3 Pt 2.58-2.67, 1 Ge 2.86
Ge 0.2500 0.4556 0.4359  4 Pt 2.53-2.67
Ge 0.7500 0.6270 0.9583  3 Pt 2.54-2.59
Ge 0.7500 0.1872 0.8185  4 Pt 2.62-2.90, 1 Ge 2.93
Ge 0.2500 0.3730 0.0417  3 Pt 2.54-2.59
Ge 0.7500 0.3128 0.3185  4 Pt 2.62-2.90, 1 Ge 2.93
Ge 0.2500 0.0444 0.9359  4 Pt 2.53-2.67
Ge 0.2500 0.2410 0.1931  3 Pt 2.58-2.67, 1 Ge 2.86
Ge 0.7500 0.7410 0.3069  3 Pt 2.58-2.67, 1 Ge 2.86
Ge 0.7500 0.5444 0.5641  4 Pt 2.53-2.67
Ge 0.2500 0.2590 0.6931  3 Pt 2.58-2.67, 1 Ge 2.86
Ge 0.2500 0.6872 0.6815  4 Pt 2.62-2.90, 1 Ge 2.93
Ge 0.7500 0.9556 0.0641  4 Pt 2.53-2.67
Ge 0.2500 0.8128 0.1815  4 Pt 2.62-2.90, 1 Ge 2.93
Pt 0.2500 0.9717 0.7942  7 Ge 2.58-2.80
Pt 0.7500 0.4717 0.7058  7 Ge 2.58-2.80
Pt 0.2500 0.7487 0.0212  6 Ge 2.53-2.67
Pt 0.2500 0.7513 0.5212  6 Ge 2.53-2.67
Pt 0.7500 0.2513 0.9788  6 Ge 2.53-2.67
Pt 0.7500 0.2487 0.4788  6 Ge 2.53-2.67
Pt 0.2500 0.5283 0.2942  7 Ge 2.58-2.80
Pt 0.7500 0.0283 0.2058  7 Ge 2.58-2.80
Pu 0.2500 0.4731 0.8566  8 Ge 2.97-3.27
Pu 0.7500 0.9731 0.6434  8 Ge 2.97-3.27
Pu 0.2500 0.0269 0.3566  8 Ge 2.97-3.27
Pu 0.7500 0.5269 0.1434  8 Ge 2.97-3.27

=====

## SrAl3Ag2 (PBE)

Data for SrAl3Ag2 after structural relaxation.

Summary:
SG: P6/mmm, No. 191
Uncorrected energy, hartree per atom: -0.1245
Total magnetic moment, μB per formula unit: 0.00
Energy relative to the lowest polymorph listed for this composition, kcal/mol of atoms: 0.00

a b c (Å): 4.4480 5.6652 5.6655
angles (deg): 120.00 90.00 90.00
Last column: nearest neighbours and their distance in Å.
Fractional positions:
Al 0.5000 0.5013 0.0000  4 Ag 2.76, 4 Al 2.83
Al 0.5000 0.0012 0.5000  4 Ag 2.76, 4 Al 2.83
Al 0.5000 0.5013 0.5000  4 Ag 2.76, 4 Al 2.83
Ag 0.0000 0.3345 0.6666  6 Al 2.76
Ag 0.0000 0.6680 0.3335  6 Al 2.76
Sr 0.0000 0.0012 0.0000  6 Ag 3.27, 12 Al 3.60

=====

## NaLaIrPd2 (PBE)

Data for NaLaIrPd2 after structural relaxation.

Summary:
SG: P4/mmm, No. 123
Uncorrected energy, hartree per atom: -0.1728
Total magnetic moment, μB per formula unit: 0.00

a b c (Å): 4.6379 4.8835 4.6379
angles (deg): 90.00 90.00 90.00
Last column: nearest neighbours and their distance in Å.
Fractional positions:
La 0.5000 0.5000 0.5000  4 Ir 3.28, 8 Pd 3.37
Pd 0.5000 0.0000 0.0000  2 Na 2.32
Pd 0.0000 0.0000 0.5000  2 Na 2.32
Na 0.0000 0.0000 0.0000  4 Pd 2.32, 2 Ir 2.44
Ir 0.0000 0.5000 0.0000  2 Na 2.44

=====

## YZr3Tc (PBE)

Data for YZr3Tc after structural relaxation.

Summary:
SG: Pm-3m, No. 221
Uncorrected energy, hartree per atom: -0.3031
Total magnetic moment, μB per formula unit: 0.00
Energy relative to the lowest polymorph listed for this composition, kcal/mol of atoms: 0.00

a b c (Å): 5.0936 5.0936 5.0936
angles (deg): 90.00 90.00 90.00
Last column: nearest neighbours and their distance in Å.
Fractional positions:
Zr 0.0000 0.5000 0.0000  2 Tc 2.55
Zr 0.0000 0.0000 0.5000  2 Tc 2.55
Zr 0.5000 0.0000 0.0000  2 Tc 2.55
Tc 0.0000 0.0000 0.0000  6 Zr 2.55
Y 0.5000 0.5000 0.5000  12 Zr 3.60

=====

## Hf2TcIr (PBE)

Data for Hf2TcIr after structural relaxation.

Summary:
SG: Fm-3m, No. 225
Uncorrected energy, hartree per atom: -0.3908
Total magnetic moment, μB per formula unit: 0.00

a b c (Å): 4.6125 4.6125 4.6125
angles (deg): 60.00 60.00 60.00
Last column: nearest neighbours and their distance in Å.
Fractional positions:
Ir 0.2500 0.2500 0.2500  8 Hf 2.82
Hf 0.0000 0.0000 0.0000  4 Tc 2.82, 4 Ir 2.82
Hf 0.5000 0.5000 0.5000  4 Ir 2.82, 4 Tc 2.82
Tc 0.7500 0.7500 0.7500  8 Hf 2.82

=====

## Te2Mo2SeS (PBE)

Data for Te2Mo2SeS after structural relaxation.

Summary:
SG: P3m1, No. 156
Uncorrected energy, hartree per atom: -0.2352
Total magnetic moment, μB per formula unit: 0.00
Formation energy without anion corrections, eV per atom: -0.47

a b c (Å): 3.3967 3.3967 35.5871
angles (deg): 90.00 90.00 120.00
Last column: nearest neighbours and their distance in Å.
Fractional positions:
Te 0.0000 0.0000 0.2138  3 Mo 2.71
Te 0.0000 0.0000 0.3192  3 Mo 2.71
Te 0.3333 0.6667 0.4297  3 Mo 2.71
Te 0.3333 0.6667 0.5351  3 Mo 2.71
Se 0.0000 0.0000 0.6440  3 Mo 2.56
Se 0.0000 0.0000 0.7366  3 Mo 2.56
Mo 0.3333 0.6667 0.2665  6 Te 2.71
Mo 0.0000 0.0000 0.4824  6 Te 2.71
Mo 0.3333 0.6667 0.6903  6 Se 2.56
Mo 0.0000 0.0000 0.0637  6 S 2.47
S 0.3333 0.6667 0.0215  3 Mo 2.47
S 0.3333 0.6667 0.1059  3 Mo 2.47

=====

## Nb2InI6 (PBE)

Data for Nb2InI6 after structural relaxation.

Summary:
SG: P-1, No. 2
Uncorrected energy, hartree per atom: -0.1438
Total magnetic moment, μB per formula unit: 0.19
Formation energy without anion corrections, eV per atom: -0.34

a b c (Å): 4.5905 9.4926 11.0950
angles (deg): 103.17 128.39 61.03
Last column: nearest neighbours and their distance in Å.
Fractional positions:
I 0.5012 0.7641 0.8435  1 Nb 2.95
I 0.2218 0.4142 0.7571  3 Nb 2.94-2.95
I 0.4988 0.2359 0.1565  1 Nb 2.95
I 0.4523 0.7733 0.4840  3 Nb 2.92-2.95
I 0.7782 0.5858 0.2429  3 Nb 2.94-2.95
I 0.5477 0.2267 0.5160  3 Nb 2.92-2.95
Nb 0.3104 0.5634 0.5825  7 I 2.92-2.95, 2 Nb 2.96
Nb 0.6896 0.4366 0.4175  7 I 2.92-2.95, 2 Nb 2.96
In 0.0000 0.0000 0.0000  4 I 3.39-3.40